No. 1
5
Lattice="4.124 0.000 0.000 0.000 4.277 0.000 -2.062 -2.139 5.464" Properties=species:S:1:pos:R:3 comment="PBE-GGA LaZn2GeIr, optimized geometry" space_group=Imm2 e_above_lowest_polymorph_mev_per_atom=0 mass_density_g_cm3=9.21 pbc="T T T"
La 0.000 0.000 4.801
Zn 2.062 0.000 2.100
Zn 0.000 0.000 0.672
Ge 2.062 2.139 3.544
Ir 0.000 2.139 2.128

***

No. 2
5
Lattice="-1.022 -0.584 4.706 2.733 -4.637 0.018 4.052 2.393 1.177" Properties=species:S:1:pos:R:3 comment="PBE-GGA LaZn2GeIr, optimized geometry" space_group=P4/mmm e_above_lowest_polymorph_mev_per_atom=390 mass_density_g_cm3=7.01 pbc="T T T"
Ge 2.882 -1.414 2.950
Ir 0.000 0.000 0.000
Zn 2.026 1.196 0.589
Zn -0.511 -0.292 2.353
La 1.366 -2.318 0.009

***

No. 3
10
Lattice="-3.086 1.440 2.559 -0.441 -3.898 1.661 7.136 2.307 7.307" Properties=species:S:1:pos:R:3 comment="PBE-GGA La2ZnGe3Ir4, optimized geometry" space_group=P-4m2 mass_density_g_cm3=11.62 pbc="T T T"
La 0.267 1.305 3.133
La 5.105 -0.227 6.284
Zn 1.804 -0.076 5.764
Ge 3.568 1.153 3.653
Ge 4.678 2.731 7.650
Ge 0.694 -1.653 1.767
Ir -1.763 -1.229 2.110
Ir 0.000 0.000 0.000
Ir 2.985 2.184 5.916
Ir 2.387 -1.106 3.501

***

No. 4
6
Lattice="-0.771 1.815 4.189 0.222 -4.228 1.873 5.699 0.641 0.771" Properties=species:S:1:pos:R:3 comment="PBE-GGA LaZn2GeIr2, optimized geometry" space_group=P4/mmm mass_density_g_cm3=9.73 pbc="T T T"
La 2.850 0.320 0.385
Zn 3.936 -0.733 3.601
Zn 1.214 -1.039 3.232
Ge 0.000 0.000 0.000
Ir -0.385 0.908 2.094
Ir 0.111 -2.114 0.937

***

Q: Which formation energy values were calculated for the entries above? A: -2.3, -0.4, -7.5, -0.8, in eV/f.u..
Q: Which VASP energy values were calculated for the entries above? A: -4.6534, -4.2637, -6.7899, -5.0959, in eV/atom.